Crystalline KCu2Se at its relaxed geometry, computed with PBE.

Volume ... 80.44 Å³ per cell
E_form (uncorrected) ... 305 meV/atom

Cell: 5.221 5.221 5.221 Å, 130.49 130.49 72.62°
Fractional coordinates of all 4 atoms:
K 0.000 0.000 0.000
Cu 0.250 0.750 0.500
Cu 0.750 0.250 0.500
Se 0.500 0.500 0.000